Record 1
## K3La2HoSe6 (PBE)

Data for a relaxed K3La2HoSe6 crystal.

Cell and atoms, written as POSCAR:
```
K3La2HoSe6
1.0
3.778 -6.544 0.000
3.778 6.544 0.000
-2.523 0.000 7.685
K La Ho Se
3 2 1 6
direct
0.000 0.000 0.000 K
0.332 0.668 0.000 K
0.668 0.332 0.000 K
0.167 0.833 0.500 La
0.833 0.167 0.500 La
0.500 0.500 0.500 Ho
0.109 0.430 0.291 Se
0.249 0.249 0.709 Se
0.430 0.109 0.291 Se
0.570 0.891 0.709 Se
0.751 0.751 0.291 Se
0.891 0.570 0.709 Se
```

Values from the calculation:
* space-group type: C2/m, No. 12

Record 2
## K3LaHo2Te6 (PBE)

Data for a relaxed K3LaHo2Te6 crystal.

Cell and atoms, written as POSCAR:
```
K3LaHo2Te6
1.0
3.949 -6.840 0.000
3.949 6.840 0.000
-2.639 0.000 8.237
K La Ho Te
3 1 2 6
direct
0.000 0.000 0.000 K
0.336 0.664 0.000 K
0.664 0.336 0.000 K
0.500 0.500 0.500 La
0.167 0.833 0.500 Ho
0.833 0.167 0.500 Ho
0.084 0.430 0.290 Te
0.225 0.225 0.710 Te
0.430 0.084 0.290 Te
0.570 0.916 0.710 Te
0.775 0.775 0.290 Te
0.916 0.570 0.710 Te
```

Values from the calculation:
* space-group type: C2/m, No. 12

Record 3
## K2LaHoTe4 (PBE)

Data for a relaxed K2LaHoTe4 crystal.

Cell and atoms, written as POSCAR:
```
K2LaHoTe4
1.0
7.970 0.000 0.000
0.000 4.598 0.000
-2.655 0.000 8.236
K La Ho Te
2 1 1 4
direct
0.000 0.000 0.000 K
0.500 0.500 0.000 K
0.000 0.500 0.500 La
0.500 0.000 0.500 Ho
0.249 0.000 0.714 Te
0.274 0.500 0.291 Te
0.726 0.500 0.709 Te
0.751 0.000 0.286 Te
```

Values from the calculation:
* space-group type: P2/m, No. 10

Record 4
## KLiHo2O4 (PBE)

Data for a relaxed KLiHo2O4 crystal.

Cell and atoms, written as POSCAR:
```
KLiHo2O4
1.0
1.721 -5.750 0.000
1.721 5.750 0.000
0.000 0.000 11.588
K Li Ho O
2 2 4 8
direct
0.098 0.902 0.750 K
0.902 0.098 0.250 K
0.179 0.821 0.250 Li
0.821 0.179 0.750 Li
0.366 0.634 0.559 Ho
0.366 0.634 0.941 Ho
0.634 0.366 0.059 Ho
0.634 0.366 0.441 Ho
0.000 0.000 0.000 O
0.000 0.000 0.500 O
0.252 0.748 0.101 O
0.252 0.748 0.399 O
0.405 0.595 0.750 O
0.595 0.405 0.250 O
0.748 0.252 0.601 O
0.748 0.252 0.899 O
```

Values from the calculation:
* space-group type: Cmcm, No. 63

Record 5
## KLiHo2Se4 (PBE)

Data for a relaxed KLiHo2Se4 crystal.

Cell and atoms, written as POSCAR:
```
KLiHo2Se4
1.0
2.085 -6.967 0.000
2.085 6.967 0.000
0.000 0.000 14.537
K Li Ho Se
2 2 4 8
direct
0.109 0.891 0.750 K
0.891 0.109 0.250 K
0.166 0.834 0.250 Li
0.834 0.166 0.750 Li
0.366 0.634 0.562 Ho
0.366 0.634 0.938 Ho
0.634 0.366 0.062 Ho
0.634 0.366 0.438 Ho
0.000 0.000 0.000 Se
0.000 0.000 0.500 Se
0.265 0.735 0.108 Se
0.265 0.735 0.392 Se
0.430 0.570 0.750 Se
0.570 0.430 0.250 Se
0.735 0.265 0.608 Se
0.735 0.265 0.892 Se
```

Values from the calculation:
* space-group type: Cmcm, No. 63

Record 6
## KHoMg4 (PBE)

Data for a relaxed KHoMg4 crystal.

Cell and atoms, written as POSCAR:
```
KHoMg4
1.0
0.000 4.420 4.420
4.420 0.000 4.420
4.420 4.420 0.000
K Ho Mg
1 1 4
direct
0.000 0.000 0.000 K
0.750 0.750 0.750 Ho
0.376 0.376 0.376 Mg
0.376 0.376 0.871 Mg
0.376 0.871 0.376 Mg
0.871 0.376 0.376 Mg
```

Values from the calculation:
* formation energy: 0.14 eV per atom
* space-group type: F-43m, No. 216

Record 7
## KHoMgS3 (PBE)

Data for a relaxed KHoMgS3 crystal.

Cell and atoms, written as POSCAR:
```
KHoMgS3
1.0
8.672 0.000 0.000
0.000 4.099 0.000
-2.956 0.000 9.368
K Ho Mg S
2 2 2 6
direct
0.203 0.250 0.213 K
0.797 0.750 0.787 K
0.334 0.750 0.864 Ho
0.666 0.250 0.136 Ho
0.085 0.250 0.610 Mg
0.915 0.750 0.390 Mg
0.117 0.250 0.860 S
0.202 0.750 0.548 S
0.461 0.750 0.148 S
0.539 0.250 0.852 S
0.798 0.250 0.452 S
0.883 0.750 0.140 S
```

Values from the calculation:
* space-group type: P2_1/m, No. 11

Record 8
## K3Ho2MgSe6 (PBE)

Data for a relaxed K3Ho2MgSe6 crystal.

Cell and atoms, written as POSCAR:
```
K3Ho2MgSe6
1.0
3.573 -6.192 0.000
3.573 6.192 0.000
-2.385 0.000 7.747
K Ho Mg Se
3 2 1 6
direct
0.000 0.000 0.000 K
0.332 0.668 0.000 K
0.668 0.332 0.000 K
0.167 0.833 0.500 Ho
0.833 0.167 0.500 Ho
0.500 0.500 0.500 Mg
0.104 0.433 0.298 Se
0.239 0.239 0.703 Se
0.433 0.104 0.298 Se
0.567 0.896 0.702 Se
0.761 0.761 0.297 Se
0.896 0.567 0.702 Se
```

Values from the calculation:
* space-group type: C2/m, No. 12

| no. | VASP energy (eV for the cell shown) | D(E_F) (states/eV per cell) |
| --- | --- | --- |
| 1 | -60.27 | 0.00 |
| 2 | -53.29 | 0.00 |
| 3 | -35.77 | 0.00 |
| 4 | -109.90 | 0.00 |
| 5 | -79.48 | 0.00 |
| 6 | -11.19 | 6.04 |
| 7 | -59.34 | 0.00 |
| 8 | -52.63 | 8.19 |